Record 1
Density functional theory data (PBE) for a geometry-optimized CeNdThHg structure.

## Properties
energy relative to the elements	0.7	kcal/mol of atoms
energy	-4.577	eV/atom

abc: 7.672 7.672 7.672
angles: 90.00 90.00 90.00
Space group F-43m (No. 216)
Unique sites:
Ce  0.000  0.000  0.000 x4
Nd  0.250  0.250  0.750 x4
Th  0.250  0.250  0.250 x4
Hg  0.000  0.000  0.500 x4

---

Record 2
Density functional theory data (PBE) for a geometry-optimized Rb2BNF6 structure.

## Properties
energy	-4.549	eV/atom
formation energy without anion corrections	-1.732	eV per atom

abc: 6.158 6.158 8.243
angles: 90.00 90.00 90.00
Space group I4/mmm (No. 139)
Unique sites:
Rb  0.000  0.500  0.250 x4
B  0.000  0.000  0.000 x2
N  0.000  0.000  0.500 x2
F  0.000  0.000  0.287 x4
F  0.173  0.173  0.000 x8

---

Record 3
Density functional theory data (PBE) for a geometry-optimized CuPS2N structure.

## Properties
energy	-3.302	eV/atom
energy above the most stable polymorph in this dataset	1262	meV per atom
formation energy without anion corrections	1.915	eV per atom

abc: 4.421 4.421 4.448
angles: 90.00 90.00 90.00
Space group P4/mmm (No. 123)
Unique sites:
Cu  0.000  0.000  0.000 x1
P  0.000  0.000  0.500 x1
S  0.000  0.500  0.000 x2
N  0.500  0.500  0.500 x1

---

Record 4
Density functional theory data (PBE) for a geometry-optimized La3ThCo2 structure.

## Properties
energy relative to the elements	-3.2	kcal/mol of atoms
energy	-6.208	eV/atom

abc: 19.656 3.846 8.797
angles: 90.00 103.99 90.00
Space group C2/m (No. 12)
Unique sites:
La  0.002  0.000  0.189 x4
La  0.103  0.500  0.550 x4
La  0.173  0.500  0.949 x4
Th  0.201  0.000  0.313 x4
Co  0.100  0.500  0.212 x4
Co  0.202  0.000  0.673 x4

---

Record 5
Density functional theory data (PBE) for a geometry-optimized TbTm2ScRh4 structure.

## Properties
energy relative to the elements	-21.7	kcal/mol of atoms
energy	-7.106	eV/atom

abc: 4.7443 4.7443 23.3328
angles: 90.00 90.00 120.00
Space group R-3m (No. 166, hexagonal axes)
Unique sites:
Tb  0.0000  0.0000  0.0000 x3
Tm  0.0000  0.0000  0.2477 x6
Sc  0.0000  0.0000  0.5000 x3
Rh  0.0000  0.0000  0.1272 x6
Rh  0.0000  0.0000  0.3780 x6

---

Record 6
Density functional theory data (PBE) for a geometry-optimized Rb2TlBiF6 structure.

## Properties
energy	-4.419	eV/atom
formation energy without anion corrections	-2.478	eV per atom

abc: 6.728 6.988 11.652
angles: 90.00 124.60 90.00
Space group P2_1/c (No. 14)
Unique sites:
Rb  0.229  0.049  0.246 x4
Tl  0.000  0.000  0.500 x2
Bi  0.500  0.000  0.000 x2
F  0.178  0.180  0.952 x4
F  0.256  0.735  0.929 x4
F  0.388  0.057  0.777 x4

---

| no. | magnetic moment (μB per formula unit) |
| --- | --- |
| 1 | 0.7 |
| 2 | 2.0 |
| 3 | 0.0 |
| 4 | 0.0 |
| 5 | 0.0 |
| 6 | 0.0 |